5
Lattice="2.270 1.310 6.205 -2.270 1.310 6.205 0.000 -2.621 6.205" Properties=species:S:1:pos:R:3 comment="Y2Zn3 | Alexandria | PBE-GGA | optimized geometry" sg="R-3m (166)" rho_g_cm3=5.61 total_energy_ev_per_atom=-3.642 crystal_system=trigonal formation_enthalpy_0k_mev_per_atom=-292 pbc="T T T"
Y 0.000 0.000 1.704
Y 0.000 0.000 16.912
Zn 0.000 0.000 6.144
Zn 0.000 0.000 9.308
Zn 0.000 0.000 12.471